*w*
YPRhS2: optimized geometry, GGA-PBE.

The density is 3.43 Mg/m³.

The structure belongs to space group P4/mmm (No. 123); the cell edges are 5.126, 5.126 and 5.293 Å and the angles 90.00°, 90.00° and 90.00°. The asymmetric unit holds Y at (0.000, 0.000, 0.000), P at (0.000, 0.000, 0.500), Rh at (0.500, 0.500, 0.500) and S at (0.000, 0.500, 0.000).



*x*
YPRhS2: optimized geometry, GGA-PBE.

The density is 4.68 Mg/m³.

The structure belongs to space group P4/mmm (No. 123); the cell edges are 4.835, 4.835 and 4.359 Å and the angles 90.00°, 90.00° and 90.00°. The asymmetric unit holds Y at (0.000, 0.000, 0.000), P at (0.500, 0.500, 0.000), Rh at (0.500, 0.500, 0.500) and S at (0.000, 0.500, 0.500).



We find *x* to be the most stable, with the next structure 1076 meV/atom higher.



*w*
SbPRh: optimized geometry, GGA-PBE.

The density is 7.56 Mg/m³.

The structure belongs to space group P3m1 (No. 156); the cell edges are 3.4722, 3.4722 and 5.3758 Å and the angles 90.00°, 90.00° and 120.00°. The asymmetric unit holds Sb at (0.0000, 0.0000, 0.0000), P at (0.6667, 0.3333, 0.4151) and Rh at (0.3333, 0.6667, 0.6361).



*x*
SbPRh: optimized geometry, GGA-PBE.

The density is 7.57 Mg/m³.

The structure belongs to space group P2_13 (No. 198); the cell edges are 6.076, 6.076 and 6.076 Å and the angles 90.00°, 90.00° and 90.00°. The asymmetric unit holds Sb at (0.127, 0.373, 0.627), P at (0.118, 0.118, 0.118) and Rh at (0.031, 0.969, 0.469).



*y*
SbPRh: optimized geometry, GGA-PBE.

The density is 7.47 Mg/m³.

The structure belongs to space group Pnma (No. 62); the cell edges are 8.429, 3.986 and 6.770 Å and the angles 90.00°, 90.00° and 90.00°. The asymmetric unit holds Sb at (0.100, 0.250, 0.127), P at (0.141, 0.250, 0.598) and Rh at (0.154, 0.750, 0.387).



*z*
SbPRh: optimized geometry, GGA-PBE.

The density is 7.07 Mg/m³.

The structure belongs to space group Pnma (No. 62); the cell edges are 10.718, 3.381 and 6.626 Å and the angles 90.00°, 90.00° and 90.00°. The asymmetric unit holds Sb at (0.198, 0.250, 0.048), P at (0.034, 0.250, 0.335) and Rh at (0.117, 0.250, 0.665).



We find *x* to be the most stable, with the next structure 10 meV/atom higher.



*w*
SbPRh: optimized geometry, GGA-PBE.

The density is 7.53 Mg/m³.

The structure belongs to space group P2_1/c (No. 14); the cell edges are 6.271, 6.235 and 6.293 Å and the angles 90.00°, 113.52° and 90.00°. The asymmetric unit holds Sb at (0.158, 0.124, 0.360), P at (0.351, 0.637, 0.672) and Rh at (0.294, 0.516, 0.297).



*x*
SbPRh: optimized geometry, GGA-PBE.

The density is 7.58 Mg/m³.

The structure belongs to space group I4mm (No. 107); the cell edges are 3.054, 3.054 and 12.006 Å and the angles 90.00°, 90.00° and 90.00°. The asymmetric unit holds Sb at (0.000, 0.000, 0.000), P at (0.000, 0.000, 0.728) and Rh at (0.000, 0.000, 0.323).



*y*
SbPRh: optimized geometry, GGA-PBE.

The density is 7.37 Mg/m³.

The structure belongs to space group F-43m (No. 216); the cell edges are 6.130, 6.130 and 6.130 Å and the angles 90.00°, 90.00° and 90.00°. The asymmetric unit holds Sb at (0.000, 0.000, 0.000), P at (0.000, 0.000, 0.500) and Rh at (0.250, 0.250, 0.250).



We find *w* to be the most stable, with the next structure 353 meV/atom higher.



*w*
Sb2PRh2: optimized geometry, GGA-PBE.

The density is 8.50 Mg/m³.

The structure belongs to space group P4/mbm (No. 127); the cell edges are 7.840, 7.840 and 3.054 Å and the angles 90.00°, 90.00° and 90.00°. The asymmetric unit holds Sb at (0.165, 0.335, 0.000), P at (0.000, 0.000, 0.000) and Rh at (0.128, 0.628, 0.500).



*x*
Sb2PRh2: optimized geometry, GGA-PBE.

The density is 7.82 Mg/m³.

The structure belongs to space group I4/mmm (No. 139); the cell edges are 4.093, 4.093 and 12.182 Å and the angles 90.00°, 90.00° and 90.00°. The asymmetric unit holds Sb at (0.000, 0.000, 0.117), P at (0.000, 0.000, 0.500) and Rh at (0.000, 0.500, 0.250).



We find *w* to be the most stable, with the next structure 23 meV/atom higher.



*w*
SbPRh3: optimized geometry, GGA-PBE.

The density is 6.89 Mg/m³.

The structure belongs to space group Pm-3m (No. 221); the cell edges are 4.809, 4.809 and 4.809 Å and the angles 90.00°, 90.00° and 90.00°. The asymmetric unit holds Sb at (0.000, 0.000, 0.000), P at (0.500, 0.500, 0.500) and Rh at (0.000, 0.000, 0.500).



*x*
SbPRh3: optimized geometry, GGA-PBE.

The density is 8.67 Mg/m³.

The structure belongs to space group Pm-3m (No. 221); the cell edges are 4.455, 4.455 and 4.455 Å and the angles 90.00°, 90.00° and 90.00°. The asymmetric unit holds Sb at (0.000, 0.000, 0.000), P at (0.500, 0.500, 0.500) and Rh at (0.000, 0.500, 0.500).



We find *x* to be the most stable, with the next structure 1265 meV/atom higher.



*w*
P2Rh2Se: optimized geometry, GGA-PBE.

The density is 7.29 Mg/m³.

The structure belongs to space group P4/mbm (No. 127); the cell edges are 7.497, 7.497 and 2.809 Å and the angles 90.00°, 90.00° and 90.00°. The asymmetric unit holds P at (0.139, 0.361, 0.000), Rh at (0.130, 0.630, 0.500) and Se at (0.000, 0.000, 0.000).



*x*
P2Rh2Se: optimized geometry, GGA-PBE.

The density is 7.24 Mg/m³.

The structure belongs to space group I4/mmm (No. 139); the cell edges are 4.095, 4.095 and 9.479 Å and the angles 90.00°, 90.00° and 90.00°. The asymmetric unit holds P at (0.000, 0.000, 0.122), Rh at (0.000, 0.500, 0.250) and Se at (0.000, 0.000, 0.500).



We find *x* to be the most stable, with the next structure 278 meV/atom higher.



*w*
SmPRh3: optimized geometry, GGA-PBE.

The density is 9.54 Mg/m³.

The structure belongs to space group Cm (No. 8); the cell edges are 5.737, 5.736 and 5.918 Å and the angles 90.00°, 118.89° and 90.00°. The asymmetric unit holds Sm at (0.000, 0.000, 0.000), P at (0.140, 0.500, 0.277), Rh at (0.425, 0.000, 0.850) and Rh at (0.497, 0.250, 0.493).



*x*
SmPRh3: optimized geometry, GGA-PBE.

The density is 9.07 Mg/m³.

The structure belongs to space group Pm-3m (No. 221); the cell edges are 4.477, 4.477 and 4.477 Å and the angles 90.00°, 90.00° and 90.00°. The asymmetric unit holds Sm at (0.000, 0.000, 0.000), P at (0.500, 0.500, 0.500) and Rh at (0.000, 0.500, 0.500).



We find *w* to be the most stable, with the next structure 205 meV/atom higher.



*w*
SmP2Rh: optimized geometry, GGA-PBE.

The density is 6.94 Mg/m³.

The structure belongs to space group F222 (No. 22); the cell edges are 5.566, 5.574 and 9.720 Å and the angles 90.00°, 90.00° and 90.00°. The asymmetric unit holds Sm at (0.000, 0.000, 0.000), P at (0.000, 0.000, 0.381) and Rh at (0.250, 0.250, 0.250).



*x*
SmP2Rh: optimized geometry, GGA-PBE.

The density is 7.31 Mg/m³.

The structure belongs to space group R-3m (No. 166, hexagonal axes); the cell edges are 3.9048, 3.9048 and 16.2725 Å and the angles 90.00°, 90.00° and 120.00°. The asymmetric unit holds Sm at (0.0000, 0.0000, 0.0000), P at (0.0000, 0.0000, 0.2275) and Rh at (0.0000, 0.0000, 0.5000).



We find *w* to be the most stable, with the next structure 9 meV/atom higher.



*w*
Sm3P2Rh7: optimized geometry, GGA-PBE.

The density is 9.20 Mg/m³.

The structure belongs to space group Cmmm (No. 65); the cell edges are 4.135, 26.388 and 4.080 Å and the angles 90.00°, 90.00° and 90.00°. The asymmetric unit holds Sm at (0.000, 0.000, 0.000), Sm at (0.000, 0.199, 0.000), P at (0.000, 0.415, 0.500), Rh at (0.000, 0.121, 0.500), Rh at (0.000, 0.294, 0.500), Rh at (0.000, 0.378, 0.000) and Rh at (0.000, 0.500, 0.500).



*x*
Sm3P2Rh7: optimized geometry, GGA-PBE.

The density is 9.63 Mg/m³.

The structure belongs to space group I4/mmm (No. 139); the cell edges are 4.015, 4.015 and 26.380 Å and the angles 90.00°, 90.00° and 90.00°. The asymmetric unit holds Sm at (0.000, 0.000, 0.000), Sm at (0.000, 0.000, 0.174), P at (0.000, 0.000, 0.372), Rh at (0.000, 0.000, 0.285), Rh at (0.000, 0.000, 0.500) and Rh at (0.000, 0.500, 0.084).



We find *x* to be the most stable, with the next structure 95 meV/atom higher.



*w*
Sn3PRh: optimized geometry, GGA-PBE.

The density is 6.35 Mg/m³.

The structure belongs to space group Pm-3m (No. 221); the cell edges are 5.042, 5.042 and 5.042 Å and the angles 90.00°, 90.00° and 90.00°. The asymmetric unit holds Sn at (0.000, 0.000, 0.500), P at (0.000, 0.000, 0.000) and Rh at (0.500, 0.500, 0.500).



*x*
Sn3PRh: optimized geometry, GGA-PBE.

The density is 6.24 Mg/m³.

The structure belongs to space group Pm-3m (No. 221); the cell edges are 5.071, 5.071 and 5.071 Å and the angles 90.00°, 90.00° and 90.00°. The asymmetric unit holds Sn at (0.000, 0.000, 0.500), P at (0.500, 0.500, 0.500) and Rh at (0.000, 0.000, 0.000).



We find *x* to be the most stable, with the next structure 612 meV/atom higher.



*w*
SrP2Rh: optimized geometry, GGA-PBE.

The density is 5.59 Mg/m³.

The structure belongs to space group F-43m (No. 216); the cell edges are 6.694, 6.694 and 6.694 Å and the angles 90.00°, 90.00° and 90.00°. The asymmetric unit holds Sr at (0.000, 0.000, 0.000), P at (0.000, 0.000, 0.500), P at (0.250, 0.250, 0.250) and Rh at (0.250, 0.250, 0.750).



*x*
SrP2Rh: optimized geometry, GGA-PBE.

The density is 4.90 Mg/m³.

The structure belongs to space group Immm (No. 71); the cell edges are 4.101, 6.078 and 6.868 Å and the angles 90.00°, 90.00° and 90.00°. The asymmetric unit holds Sr at (0.000, 0.000, 0.000), P at (0.000, 0.500, 0.165) and Rh at (0.000, 0.000, 0.500).



We find *x* to be the most stable, with the next structure 821 meV/atom higher.



*w*
SrP2Rh: optimized geometry, GGA-PBE.

The density is 4.72 Mg/m³.

The structure belongs to space group Pm (No. 6); the cell edges are 4.292, 4.151 and 5.057 Å and the angles 90.00°, 99.50° and 90.00°. The asymmetric unit holds Sr at (0.000, 0.000, 0.000), P at (0.328, 0.500, 0.653), P at (0.568, 0.000, 0.437) and Rh at (0.813, 0.500, 0.469).



*x*
SrP2Rh: optimized geometry, GGA-PBE.

The density is 5.56 Mg/m³.

The structure belongs to space group P4/mmm (No. 123); the cell edges are 3.460, 3.460 and 6.298 Å and the angles 90.00°, 90.00° and 90.00°. The asymmetric unit holds Sr at (0.000, 0.000, 0.000), P at (0.500, 0.500, 0.330) and Rh at (0.000, 0.000, 0.500).



We find *w* to be the most stable, with the next structure 219 meV/atom higher.